Entry 1:
# PBE Pm6Ga3N, relaxed
data_Pm6Ga3N
_cell_length_a 6.4870
_cell_length_b 9.2380
_cell_length_c 9.2380
_cell_angle_alpha 101.46
_cell_angle_beta 90.00
_cell_angle_gamma 90.00
_space_group_name_H-M_alt 'P 1'
_space_group_IT_number 1
_space_group_name_Hall 'P 1'
loop_
_atom_site_label
_atom_site_fract_x
_atom_site_fract_y
_atom_site_fract_z
Pm1 0.1855 0.7603 0.6868
Pm2 0.6855 0.6868 0.7603
Pm3 0.2094 0.4511 0.8691
Pm4 0.7094 0.8691 0.4511
Pm5 0.9829 0.0847 0.9153
Pm6 0.7170 0.3064 0.6936
Pm7 0.2170 0.6936 0.3064
Pm8 0.4829 0.9153 0.0847
Pm9 0.2094 0.1309 0.5489
Pm10 0.7094 0.5489 0.1309
Pm11 0.1855 0.3132 0.2397
Pm12 0.6855 0.2397 0.3132
Ga1 0.5219 0.0090 0.7648
Ga2 0.0219 0.7648 0.0090
Ga3 0.4133 0.4815 0.5185
Ga4 0.9133 0.5185 0.4815
Ga5 0.0219 0.9910 0.2352
Ga6 0.5219 0.2352 0.9910
N1 0.0384 0.2468 0.7532
N2 0.5384 0.7532 0.2468
# Formation energy without anion corrections, kJ/mol of formula units: -519
# Fermi-level density of states, states/eV per cell: 17.92

Entry 2:
# PBE La4Tb2Er3, relaxed
data_La4Tb2Er3
_cell_length_a 3.6165
_cell_length_b 3.6166
_cell_length_c 27.1139
_cell_angle_alpha 90.00
_cell_angle_beta 90.00
_cell_angle_gamma 120.00
_space_group_name_H-M_alt 'P 1'
_space_group_IT_number 1
_space_group_name_Hall 'P 1'
loop_
_atom_site_label
_atom_site_fract_x
_atom_site_fract_y
_atom_site_fract_z
La1 0.0000 0.0000 0.5491
La2 0.6667 0.3333 0.4288
La3 0.6667 0.3333 0.2141
La4 0.0000 0.0000 0.7655
Tb1 0.6667 0.3333 0.0831
Tb2 0.6667 0.3333 0.8783
Er1 0.0000 0.0000 0.9814
Er2 0.0000 0.0000 0.3206
Er3 0.6667 0.3333 0.6564
# Energy relative to the lowest polymorph listed for this composition, eV per atom: 0.000
# Fermi-level density of states, states/eV per cell: 16.77

Entry 3:
# PBE Nd3Ho4Ga4, relaxed
data_Nd3Ho4Ga4
_cell_length_a 4.9104
_cell_length_b 7.4378
_cell_length_c 9.2994
_cell_angle_alpha 113.57
_cell_angle_beta 105.31
_cell_angle_gamma 90.00
_space_group_name_H-M_alt 'P 1'
_space_group_IT_number 1
_space_group_name_Hall 'P 1'
loop_
_atom_site_label
_atom_site_fract_x
_atom_site_fract_y
_atom_site_fract_z
Nd1 0.1066 0.1066 0.2132
Nd2 0.8934 0.8934 0.7868
Nd3 0.0000 0.5000 0.0000
Ho1 0.3256 0.1082 0.6513
Ho2 0.6744 0.4570 0.3487
Ho3 0.6744 0.8918 0.3487
Ho4 0.3256 0.5430 0.6513
Ga1 0.1945 0.6945 0.3889
Ga2 0.8055 0.3055 0.6111
Ga3 0.5000 0.8173 0.0000
Ga4 0.5000 0.1827 0.0000
# Calculated total energy, eV per atom: -4.447
# Fermi-level density of states, states/eV per cell: 8.87

Entry 4:
# PBE Pr2AgAs4Pd3, relaxed
data_Pr2AgAs4Pd3
_cell_length_a 4.4601
_cell_length_b 4.4601
_cell_length_c 10.1919
_cell_angle_alpha 90.00
_cell_angle_beta 90.00
_cell_angle_gamma 90.00
_space_group_name_H-M_alt 'P 1'
_space_group_IT_number 1
_space_group_name_Hall 'P 1'
loop_
_atom_site_label
_atom_site_fract_x
_atom_site_fract_y
_atom_site_fract_z
Pr1 0.5000 0.0000 0.2426
Pr2 0.0000 0.5000 0.7574
Ag1 0.5000 0.5000 0.5000
As1 0.5000 0.5000 0.0000
As2 0.0000 0.0000 0.0000
As3 0.5000 0.0000 0.6389
As4 0.0000 0.5000 0.3611
Pd1 0.0000 0.0000 0.5000
Pd2 0.5000 0.0000 0.8811
Pd3 0.0000 0.5000 0.1189
# Calculated total energy, eV per atom: -5.437
# Fermi-level density of states, states/eV per cell: 4.28

Entry 5:
# PBE AlTlIn2, relaxed
data_AlTlIn2
_cell_length_a 5.6058
_cell_length_b 5.6058
_cell_length_c 3.3448
_cell_angle_alpha 90.00
_cell_angle_beta 90.00
_cell_angle_gamma 101.30
_space_group_name_H-M_alt 'P 1'
_space_group_IT_number 1
_space_group_name_Hall 'P 1'
loop_
_atom_site_label
_atom_site_fract_x
_atom_site_fract_y
_atom_site_fract_z
Tl1 0.5000 0.0000 0.5000
Al1 0.0000 0.5000 0.5000
In1 0.0000 0.0000 0.0000
In2 0.5000 0.5000 0.0000
# Energy relative to the lowest polymorph listed for this composition, eV per atom: 0.067
# Fermi-level density of states, states/eV per cell: 1.36

Entry 6:
# PBE Zn2TcPt, relaxed
data_Zn2TcPt
_cell_length_a 4.7847
_cell_length_b 4.7847
_cell_length_c 2.6681
_cell_angle_alpha 90.00
_cell_angle_beta 90.00
_cell_angle_gamma 106.85
_space_group_name_H-M_alt 'P 1'
_space_group_IT_number 1
_space_group_name_Hall 'P 1'
loop_
_atom_site_label
_atom_site_fract_x
_atom_site_fract_y
_atom_site_fract_z
Pt1 0.5000 0.0000 0.5000
Tc1 0.0000 0.5000 0.5000
Zn1 0.0000 0.0000 0.0000
Zn2 0.5000 0.5000 0.0000
# Energy relative to the lowest polymorph listed for this composition, eV per atom: 0.068
# Fermi-level density of states, states/eV per cell: 4.38

Entry 7:
# PBE Y2TmPb3, relaxed
data_Y2TmPb3
_cell_length_a 6.3926
_cell_length_b 6.3849
_cell_length_c 9.0245
_cell_angle_alpha 110.72
_cell_angle_beta 100.21
_cell_angle_gamma 90.00
_space_group_name_H-M_alt 'P 1'
_space_group_IT_number 1
_space_group_name_Hall 'P 1'
loop_
_atom_site_label
_atom_site_fract_x
_atom_site_fract_y
_atom_site_fract_z
Y1 0.5856 0.5407 0.3334
Y2 0.0856 0.7926 0.3334
Y3 0.9144 0.2074 0.6666
Y4 0.4144 0.4593 0.6666
Tm1 0.7500 0.1228 0.0000
Tm2 0.2500 0.8772 0.0000
Pb1 0.2500 0.3768 0.0000
Pb2 0.7500 0.6232 0.0000
Pb3 0.0821 0.2905 0.3310
Pb4 0.4179 0.9595 0.6690
Pb5 0.5821 0.0405 0.3310
Pb6 0.9179 0.7095 0.6690
# Calculated total energy, eV per atom: -5.259
# Fermi-level density of states, states/eV per cell: 4.79

Entry 8:
# PBE CsBi2AuCl, relaxed
data_CsBi2AuCl
_cell_length_a 5.4219
_cell_length_b 8.2726
_cell_length_c 5.4219
_cell_angle_alpha 90.00
_cell_angle_beta 90.00
_cell_angle_gamma 90.00
_space_group_name_H-M_alt 'P 1'
_space_group_IT_number 1
_space_group_name_Hall 'P 1'
loop_
_atom_site_label
_atom_site_fract_x
_atom_site_fract_y
_atom_site_fract_z
Cs1 0.0000 0.5000 0.0000
Au1 0.0000 0.0000 0.0000
Bi1 0.0000 0.0000 0.5000
Bi2 0.5000 0.0000 0.0000
Cl1 0.5000 0.5000 0.5000
# Formation energy without anion corrections, kJ/mol of formula units: -100
# Fermi-level density of states, states/eV per cell: 4.88

Entry 9:
# PBE GdPdPtPb, relaxed
data_GdPdPtPb
_cell_length_a 4.9129
_cell_length_b 4.9129
_cell_length_c 4.9129
_cell_angle_alpha 60.00
_cell_angle_beta 60.00
_cell_angle_gamma 60.00
_space_group_name_H-M_alt 'P 1'
_space_group_IT_number 1
_space_group_name_Hall 'P 1'
loop_
_atom_site_label
_atom_site_fract_x
_atom_site_fract_y
_atom_site_fract_z
Pb1 0.5000 0.5000 0.5000
Gd1 0.0000 0.0000 0.0000
Pd1 0.2500 0.2500 0.2500
Pt1 0.7500 0.7500 0.7500
# Calculated total energy, eV per atom: -7.963
# Fermi-level density of states, states/eV per cell: 1.65

Entry 10:
# PBE Ac2Zn9Pd6, relaxed
data_Ac2Zn9Pd6
_cell_length_a 5.5586
_cell_length_b 5.5587
_cell_length_c 12.5753
_cell_angle_alpha 90.00
_cell_angle_beta 90.00
_cell_angle_gamma 120.00
_space_group_name_H-M_alt 'P 1'
_space_group_IT_number 1
_space_group_name_Hall 'P 1'
loop_
_atom_site_label
_atom_site_fract_x
_atom_site_fract_y
_atom_site_fract_z
Ac1 0.0000 0.0000 0.6750
Ac2 0.0000 0.0000 0.3250
Zn1 0.5000 0.0000 0.8419
Zn2 0.0000 0.5000 0.8419
Zn3 0.5000 0.5000 0.8419
Zn4 0.5000 0.0000 0.1581
Zn5 0.0000 0.5000 0.1581
Zn6 0.5000 0.5000 0.1581
Zn7 0.5000 0.0000 0.5000
Zn8 0.0000 0.5000 0.5000
Zn9 0.5000 0.5000 0.5000
Pd1 0.3333 0.6667 0.0000
Pd2 0.6667 0.3333 0.0000
Pd3 0.3333 0.6667 0.6732
Pd4 0.6667 0.3333 0.6732
Pd5 0.6667 0.3333 0.3268
Pd6 0.3333 0.6667 0.3268
# Calculated total energy, eV per atom: -3.443
# Fermi-level density of states, states/eV per cell: 6.60

Entry 11:
# PBE RbRuPb2O8, relaxed
data_RbRuPb2O8
_cell_length_a 5.7655
_cell_length_b 4.4360
_cell_length_c 7.8023
_cell_angle_alpha 71.95
_cell_angle_beta 95.32
_cell_angle_gamma 97.67
_space_group_name_H-M_alt 'P 1'
_space_group_IT_number 1
_space_group_name_Hall 'P 1'
loop_
_atom_site_label
_atom_site_fract_x
_atom_site_fract_y
_atom_site_fract_z
Rb1 0.0000 0.0000 0.5000
Ru1 0.0000 0.0000 0.0000
Pb1 0.5480 0.3659 0.8114
Pb2 0.4520 0.6341 0.1886
O1 0.0486 0.6531 0.2107
O2 0.6809 0.7961 0.9321
O3 0.8311 0.1652 0.1294
O4 0.9514 0.3469 0.7893
O5 0.3191 0.2039 0.0679
O6 0.1689 0.8348 0.8706
O7 0.4865 0.8470 0.5017
O8 0.5135 0.1530 0.4983
# Formation energy without anion corrections, kJ/mol of formula units: -905
# Fermi-level density of states, states/eV per cell: 6.01

Entry 12:
# PBE BaMo4, relaxed
data_BaMo4
_cell_length_a 4.8958
_cell_length_b 4.8958
_cell_length_c 4.8958
_cell_angle_alpha 90.00
_cell_angle_beta 90.00
_cell_angle_gamma 90.00
_space_group_name_H-M_alt 'P 1'
_space_group_IT_number 1
_space_group_name_Hall 'P 1'
loop_
_atom_site_label
_atom_site_fract_x
_atom_site_fract_y
_atom_site_fract_z
Mo1 0.0000 0.0000 0.0000
Mo2 0.5000 0.0000 0.5000
Mo3 0.0000 0.5000 0.5000
Mo4 0.5000 0.5000 0.0000
Ba1 0.5000 0.5000 0.5000
# Energy relative to the lowest polymorph listed for this composition, eV per atom: 0.428
# Fermi-level density of states, states/eV per cell: 9.16

Entry 13:
# PBE TaCdPd, relaxed
data_TaCdPd
_cell_length_a 2.9025
_cell_length_b 2.9025
_cell_length_c 6.6218
_cell_angle_alpha 102.66
_cell_angle_beta 102.66
_cell_angle_gamma 90.00
_space_group_name_H-M_alt 'P 1'
_space_group_IT_number 1
_space_group_name_Hall 'P 1'
loop_
_atom_site_label
_atom_site_fract_x
_atom_site_fract_y
_atom_site_fract_z
Ta1 0.6770 0.6770 0.3541
Pd1 0.3280 0.3280 0.6560
Cd1 0.9950 0.9950 0.9899
# Energy relative to the lowest polymorph listed for this composition, eV per atom: 0.142
# Fermi-level density of states, states/eV per cell: 1.93

Entry 14:
# PBE LiCoReB2, relaxed
data_LiCoReB2
_cell_length_a 4.0274
_cell_length_b 4.4717
_cell_length_c 4.0274
_cell_angle_alpha 90.00
_cell_angle_beta 90.00
_cell_angle_gamma 90.00
_space_group_name_H-M_alt 'P 1'
_space_group_IT_number 1
_space_group_name_Hall 'P 1'
loop_
_atom_site_label
_atom_site_fract_x
_atom_site_fract_y
_atom_site_fract_z
Re1 0.0000 0.0000 0.0000
B1 0.0000 0.0000 0.5000
B2 0.5000 0.0000 0.0000
Co1 0.5000 0.5000 0.5000
Li1 0.0000 0.5000 0.0000
# Calculated total energy, eV per atom: -5.579
# Fermi-level density of states, states/eV per cell: 3.56

Entry 15:
# PBE Ta2HgOs, relaxed
data_Ta2HgOs
_cell_length_a 4.9404
_cell_length_b 4.9404
_cell_length_c 3.0121
_cell_angle_alpha 90.00
_cell_angle_beta 90.00
_cell_angle_gamma 109.27
_space_group_name_H-M_alt 'P 1'
_space_group_IT_number 1
_space_group_name_Hall 'P 1'
loop_
_atom_site_label
_atom_site_fract_x
_atom_site_fract_y
_atom_site_fract_z
Hg1 0.5000 0.0000 0.5000
Os1 0.0000 0.5000 0.5000
Ta1 0.0000 0.0000 0.0000
Ta2 0.5000 0.5000 0.0000
# Calculated total energy, eV per atom: -8.636
# Fermi-level density of states, states/eV per cell: 2.57

Entry 16:
# PBE RbNa2TeSe, relaxed
data_RbNa2TeSe
_cell_length_a 5.5046
_cell_length_b 5.5046
_cell_length_c 6.6185
_cell_angle_alpha 90.00
_cell_angle_beta 90.00
_cell_angle_gamma 90.00
_space_group_name_H-M_alt 'P 1'
_space_group_IT_number 1
_space_group_name_Hall 'P 1'
loop_
_atom_site_label
_atom_site_fract_x
_atom_site_fract_y
_atom_site_fract_z
Na1 0.0000 0.5000 0.0000
Na2 0.5000 0.0000 0.0000
Te1 0.5000 0.5000 0.5000
Se1 0.0000 0.0000 0.0000
Rb1 0.0000 0.0000 0.5000
# Formation energy without anion corrections, kJ/mol of formula units: -330
# Fermi-level density of states, states/eV per cell: 7.10

Entry 17:
# PBE KCd3Pt, relaxed
data_KCd3Pt
_cell_length_a 5.2372
_cell_length_b 5.2372
_cell_length_c 13.0794
_cell_angle_alpha 78.45
_cell_angle_beta 78.45
_cell_angle_gamma 90.00
_space_group_name_H-M_alt 'P 1'
_space_group_IT_number 1
_space_group_name_Hall 'P 1'
loop_
_atom_site_label
_atom_site_fract_x
_atom_site_fract_y
_atom_site_fract_z
K1 0.0000 0.0000 0.0000
K2 0.2500 0.7500 0.5000
Pt1 0.6976 0.1976 0.6049
Pt2 0.8024 0.3024 0.3951
Cd1 0.1152 0.8691 0.2617
Cd2 0.1309 0.8848 0.7383
Cd3 0.1309 0.3769 0.7383
Cd4 0.6231 0.8691 0.2617
Cd5 0.3373 0.3373 0.3254
Cd6 0.6627 0.6627 0.6746
# Energy relative to the lowest polymorph listed for this composition, eV per atom: 0.406
# Fermi-level density of states, states/eV per cell: 5.18

Entry 18:
# PBE CsTlHSe, relaxed
data_CsTlHSe
_cell_length_a 5.3484
_cell_length_b 7.5734
_cell_length_c 7.5560
_cell_angle_alpha 90.00
_cell_angle_beta 90.00
_cell_angle_gamma 90.00
_space_group_name_H-M_alt 'P 1'
_space_group_IT_number 1
_space_group_name_Hall 'P 1'
loop_
_atom_site_label
_atom_site_fract_x
_atom_site_fract_y
_atom_site_fract_z
Cs1 0.0000 0.0000 0.9952
Cs2 0.0000 0.5000 0.4952
Tl1 0.5000 0.0000 0.5765
Tl2 0.5000 0.5000 0.0765
H1 0.5000 0.0000 0.8343
H2 0.5000 0.5000 0.3343
Se1 0.0000 0.0000 0.4806
Se2 0.0000 0.5000 0.9806
# Energy relative to the lowest polymorph listed for this composition, eV per atom: 0.040
# Fermi-level density of states, states/eV per cell: 0.71

Entry 19:
# PBE Gd2CdBi, relaxed
data_Gd2CdBi
_cell_length_a 5.4446
_cell_length_b 5.4446
_cell_length_c 5.4446
_cell_angle_alpha 60.00
_cell_angle_beta 60.00
_cell_angle_gamma 60.00
_space_group_name_H-M_alt 'P 1'
_space_group_IT_number 1
_space_group_name_Hall 'P 1'
loop_
_atom_site_label
_atom_site_fract_x
_atom_site_fract_y
_atom_site_fract_z
Gd1 0.2500 0.2500 0.2500
Gd2 0.7500 0.7500 0.7500
Bi1 0.0000 0.0000 0.0000
Cd1 0.5000 0.5000 0.5000
# Energy relative to the lowest polymorph listed for this composition, eV per atom: 0.074
# Fermi-level density of states, states/eV per cell: 4.65

Entry 20:
# PBE DyHo9Tm2, relaxed
data_DyHo9Tm2
_cell_length_a 3.4648
_cell_length_b 11.0982
_cell_length_c 11.0982
_cell_angle_alpha 120.00
_cell_angle_beta 90.00
_cell_angle_gamma 90.00
_space_group_name_H-M_alt 'P 1'
_space_group_IT_number 1
_space_group_name_Hall 'P 1'
loop_
_atom_site_label
_atom_site_fract_x
_atom_site_fract_y
_atom_site_fract_z
Dy1 0.0000 0.0000 0.0000
Ho1 0.0000 0.0000 0.5000
Ho2 0.0000 0.5000 0.5000
Ho3 0.0000 0.5000 0.0000
Ho4 0.5000 0.3541 0.1770
Ho5 0.5000 0.1770 0.8230
Ho6 0.5000 0.1770 0.3541
Ho7 0.5000 0.8230 0.6459
Ho8 0.5000 0.8230 0.1770
Ho9 0.5000 0.6459 0.8230
Tm1 0.0000 0.3333 0.6667
Tm2 0.0000 0.6667 0.3333
# Energy relative to the lowest polymorph listed for this composition, eV per atom: 0.028
# Fermi-level density of states, states/eV per cell: 18.40